# Tb4HoOs2 | Alexandria via LeMat-Bulk | GGA-PBE | optimized geometry
# - raw total energy (eV/atom) = -6.66
# - magnetic moment (Bohr magnetons per cell) = 0.00
# - energy relative to the elements (meV/atom) = -149
data_Tb4HoOs2
_chemical_formula_sum 'Tb8 Ho2 Os4'
_cell_length_a 7.8524
_cell_length_b 6.3106
_cell_length_c 7.8989
_cell_angle_alpha 90.00
_cell_angle_beta 112.26
_cell_angle_gamma 90.00
_symmetry_space_group_name_H-M 'P 1 21/m 1'
_symmetry_Int_Tables_number 11
_symmetry_space_group_name_Hall '-P 2yb'
loop_
_atom_site_label
_atom_site_type_symbol
_atom_site_fract_x
_atom_site_fract_y
_atom_site_fract_z
Tb1 Tb 0.1217 0.2500 0.4791
Tb2 Tb 0.1759 0.7500 0.2534
Tb3 Tb 0.2608 0.5018 0.9181
Ho1 Ho 0.4703 0.2500 0.3403
Os1 Os 0.0876 0.2500 0.1232
Os2 Os 0.4761 0.2500 0.7528